[1]
## CoIrPd2 (GGA-PBE)

Data for a relaxed structure of CoIrPd2.

Values from the calculation:
**Total magnetic moment**: 2.7 μB/f.u.
**Final energy**: -6.42 eV per atom

Unit cell a=3.8145 b=3.8145 c=3.8988 alpha=90.00 beta=90.00 gamma=90.00
With the nearest neighbours (Å) after each atom.
Space group P4/mmm (No. 123)
One atom of each set of equivalent atoms:
Co: 0.0000 0.0000 0.0000  4 Ir 2.70, 8 Pd 2.73
Ir: 0.5000 0.5000 0.0000  4 Co 2.70, 8 Pd 2.73
Pd: 0.0000 0.5000 0.5000  4 Pd 2.70, 4 Co 2.73, 4 Ir 2.73


[2]
## Co3IrPd (GGA-PBE)

Data for a relaxed structure of Co3IrPd.

Values from the calculation:
**Total magnetic moment**: 6.4 μB/f.u.
**Distance to the lowest polymorph of the same formula**: 0 meV/atom

Unit cell a=6.9681 b=4.6902 c=8.5460 alpha=90.00 beta=112.20 gamma=90.00
With the nearest neighbours (Å) after each atom.
Space group P2_1/c (No. 14)
One atom of each set of equivalent atoms:
Co: 0.0412 0.1785 0.4132  5 Co 2.44-2.64, 4 Ir 2.49-2.61
Co: 0.2115 0.0727 0.1912  4 Co 2.48-2.64, 3 Ir 2.53-2.67, 3 Pd 2.60-2.64
Co: 0.4138 0.2390 0.9778  4 Co 2.47-2.69, 2 Ir 2.54-2.69, 4 Pd 2.57-2.68
Ir: 0.1707 0.6874 0.4020  9 Co 2.49-2.69, 2 Pd 2.67-2.70
Pd: 0.3807 0.5707 0.2051  8 Co 2.57-2.77, 2 Ir 2.67-2.70, 2 Pd 2.81


[3]
## CoIrPd (GGA-PBE)

Data for a relaxed structure of CoIrPd.

Values from the calculation:
**Total magnetic moment**: 2.4 μB/f.u.
**Distance to the lowest polymorph of the same formula**: 19 meV/atom

Unit cell a=2.7091 b=2.7091 c=6.5342 alpha=90.00 beta=90.00 gamma=120.00
With the nearest neighbours (Å) after each atom.
Space group P3m1 (No. 156)
One atom of each set of equivalent atoms:
Co: 0.0000 0.0000 0.0000  3 Ir 2.56, 3 Pd 2.65, 6 Co 2.71
Ir: 0.6667 0.3333 0.3102  3 Co 2.56, 6 Ir 2.71, 3 Pd 2.83
Pd: 0.3333 0.6667 0.6719  3 Co 2.65, 6 Pd 2.71, 3 Ir 2.83


[4]
## CoIrPd (GGA-PBE)

Data for a relaxed structure of CoIrPd.

Values from the calculation:
**Total magnetic moment**: 1.9 μB/f.u.
**Distance to the lowest polymorph of the same formula**: 0 meV/atom

Unit cell a=2.7079 b=3.7439 c=8.1451 alpha=90.00 beta=90.07 gamma=90.00
With the nearest neighbours (Å) after each atom.
Space group P2_1/m (No. 11)
One atom of each set of equivalent atoms:
Co: 0.2497 0.2500 0.2408  5 Ir 2.62-2.65, 5 Pd 2.68-2.85, 2 Co 2.71
Ir: 0.2499 0.2500 0.9187  5 Co 2.62-2.65, 6 Ir 2.66-2.71, 1 Pd 2.67
Pd: 0.2502 0.2500 0.5912  1 Ir 2.67, 5 Co 2.68-2.85, 6 Pd 2.71-2.75